No. 1
VASP calculation (GGA-PBE) on a relaxed SrLi3As2 crystal.

CIF file:
```
data_SrLi3As2
_space_group_name_H-M_alt 'P 1'
_space_group_IT_number 1
_space_group_name_Hall 'P 1'
_cell_length_a 8.1343
_cell_length_b 8.1343
_cell_length_c 7.8732
_cell_angle_alpha 114.74
_cell_angle_beta 114.74
_cell_angle_gamma 31.22
loop_
_atom_site_label
_atom_site_type_symbol
_atom_site_fract_x
_atom_site_fract_y
_atom_site_fract_z
Sr1 Sr 0.1479 0.1479 0.0730
Sr2 Sr 0.8521 0.8521 0.9270
Li1 Li 0.0336 0.0336 0.3577
Li2 Li 0.3142 0.3142 0.5437
Li3 Li 0.3920 0.3920 0.2968
Li4 Li 0.6080 0.6080 0.7032
Li5 Li 0.6858 0.6858 0.4563
Li6 Li 0.9664 0.9664 0.6423
As1 As 0.1848 0.1848 0.6803
As2 As 0.4816 0.4816 0.8280
As3 As 0.5184 0.5184 0.1720
As4 As 0.8152 0.8152 0.3197
```

## Properties
Space-group type: No. 12
Formation enthalpy at 0 K (eV/atom): -0.840

---

No. 2
VASP calculation (GGA-PBE) on a relaxed NiAs2Pb crystal.

CIF file:
```
data_NiAs2Pb
_space_group_name_H-M_alt 'P 1'
_space_group_IT_number 1
_space_group_name_Hall 'P 1'
_cell_length_a 4.4183
_cell_length_b 4.4183
_cell_length_c 8.1186
_cell_angle_alpha 90.00
_cell_angle_beta 90.00
_cell_angle_gamma 90.00
loop_
_atom_site_label
_atom_site_type_symbol
_atom_site_fract_x
_atom_site_fract_y
_atom_site_fract_z
Ni1 Ni 0.0000 0.0000 0.0000
Ni2 Ni 0.5000 0.5000 0.5000
As1 As 0.0000 0.0000 0.5000
As2 As 0.0000 0.5000 0.2500
As3 As 0.5000 0.0000 0.7500
As4 As 0.5000 0.5000 0.0000
Pb1 Pb 0.0000 0.5000 0.7500
Pb2 Pb 0.5000 0.0000 0.2500
```

## Properties
Space-group type: No. 119
Formation enthalpy at 0 K (eV/atom): 0.437

---

No. 3
VASP calculation (GGA-PBE) on a relaxed Ba3NaAu2O6 crystal.

CIF file:
```
data_Ba3NaAu2O6
_space_group_name_H-M_alt 'P 1'
_space_group_IT_number 1
_space_group_name_Hall 'P 1'
_cell_length_a 6.2327
_cell_length_b 6.2327
_cell_length_c 6.8813
_cell_angle_alpha 90.00
_cell_angle_beta 90.00
_cell_angle_gamma 120.00
loop_
_atom_site_label
_atom_site_type_symbol
_atom_site_fract_x
_atom_site_fract_y
_atom_site_fract_z
Ba1 Ba 0.0000 0.0000 0.0000
Ba2 Ba 0.3333 0.6667 0.6281
Ba3 Ba 0.6667 0.3333 0.3719
Na1 Na 0.0000 0.0000 0.5000
Au1 Au 0.3333 0.6667 0.1438
Au2 Au 0.6667 0.3333 0.8562
O1 O 0.1669 0.3338 0.2968
O2 O 0.1669 0.8331 0.2968
O3 O 0.3338 0.1669 0.7032
O4 O 0.6662 0.8331 0.2968
O5 O 0.8331 0.1669 0.7032
O6 O 0.8331 0.6662 0.7032
```

## Properties
DFT total energy (eV/atom): -4.80
Space-group type: No. 164

---

No. 4
VASP calculation (GGA-PBE) on a relaxed BaNa6Sr crystal.

CIF file:
```
data_BaNa6Sr
_space_group_name_H-M_alt 'P 1'
_space_group_IT_number 1
_space_group_name_Hall 'P 1'
_cell_length_a 11.2439
_cell_length_b 11.2521
_cell_length_c 5.6017
_cell_angle_alpha 90.00
_cell_angle_beta 90.00
_cell_angle_gamma 90.00
loop_
_atom_site_label
_atom_site_type_symbol
_atom_site_fract_x
_atom_site_fract_y
_atom_site_fract_z
Ba1 Ba 0.0000 0.0000 0.0000
Ba2 Ba 0.5000 0.5000 0.0000
Na1 Na 0.0000 0.2559 0.5000
Na2 Na 0.0000 0.7441 0.5000
Na3 Na 0.2438 0.5000 0.5000
Na4 Na 0.2500 0.2500 0.0000
Na5 Na 0.2500 0.7500 0.0000
Na6 Na 0.2562 0.0000 0.5000
Na7 Na 0.5000 0.2441 0.5000
Na8 Na 0.5000 0.7559 0.5000
Na9 Na 0.7438 0.0000 0.5000
Na10 Na 0.7500 0.2500 0.0000
Na11 Na 0.7500 0.7500 0.0000
Na12 Na 0.7562 0.5000 0.5000
Sr1 Sr 0.0000 0.5000 0.0000
Sr2 Sr 0.5000 0.0000 0.0000
```

## Properties
Relative energy among the computed polymorphs (meV/atom): 0
Space-group type: No. 65
Formation enthalpy at 0 K (eV/atom): 0.054

---

No. 5
VASP calculation (GGA-PBE) on a relaxed TcP2Ru crystal.

CIF file:
```
data_TcP2Ru
_space_group_name_H-M_alt 'P 1'
_space_group_IT_number 1
_space_group_name_Hall 'P 1'
_cell_length_a 6.0568
_cell_length_b 6.0568
_cell_length_c 6.0568
_cell_angle_alpha 90.00
_cell_angle_beta 90.00
_cell_angle_gamma 90.00
loop_
_atom_site_label
_atom_site_type_symbol
_atom_site_fract_x
_atom_site_fract_y
_atom_site_fract_z
Tc1 Tc 0.0000 0.0000 0.0000
Tc2 Tc 0.0000 0.5000 0.5000
Tc3 Tc 0.5000 0.0000 0.5000
Tc4 Tc 0.5000 0.5000 0.0000
P1 P 0.0000 0.0000 0.5000
P2 P 0.0000 0.5000 0.0000
P3 P 0.2500 0.2500 0.2500
P4 P 0.2500 0.7500 0.7500
P5 P 0.5000 0.0000 0.0000
P6 P 0.5000 0.5000 0.5000
P7 P 0.7500 0.2500 0.7500
P8 P 0.7500 0.7500 0.2500
Ru1 Ru 0.2500 0.2500 0.7500
Ru2 Ru 0.2500 0.7500 0.2500
Ru3 Ru 0.7500 0.2500 0.2500
Ru4 Ru 0.7500 0.7500 0.7500
```

## Properties
Relative energy among the computed polymorphs (meV/atom): 805
Space-group type: No. 216
Formation enthalpy at 0 K (eV/atom): 0.425

---

No. 6
VASP calculation (GGA-PBE) on a relaxed Sr2YPb crystal.

CIF file:
```
data_Sr2YPb
_space_group_name_H-M_alt 'P 1'
_space_group_IT_number 1
_space_group_name_Hall 'P 1'
_cell_length_a 5.3352
_cell_length_b 4.0584
_cell_length_c 14.4225
_cell_angle_alpha 90.00
_cell_angle_beta 90.00
_cell_angle_gamma 90.00
loop_
_atom_site_label
_atom_site_type_symbol
_atom_site_fract_x
_atom_site_fract_y
_atom_site_fract_z
Sr1 Sr 0.0000 0.0000 0.0000
Sr2 Sr 0.0000 0.5000 0.5000
Sr3 Sr 0.5000 0.0000 0.3304
Sr4 Sr 0.5000 0.5000 0.8304
Y1 Y 0.5000 0.0000 0.6118
Y2 Y 0.5000 0.5000 0.1118
Pb1 Pb 0.0000 0.0000 0.7286
Pb2 Pb 0.0000 0.5000 0.2286
```

## Properties
Space-group type: No. 38
Formation enthalpy at 0 K (eV/atom): -0.169

---

No. 7
VASP calculation (GGA-PBE) on a relaxed ReTc crystal.

CIF file:
```
data_ReTc
_space_group_name_H-M_alt 'P 1'
_space_group_IT_number 1
_space_group_name_Hall 'P 1'
_cell_length_a 4.2981
_cell_length_b 4.2981
_cell_length_c 8.0273
_cell_angle_alpha 90.00
_cell_angle_beta 90.00
_cell_angle_gamma 120.00
loop_
_atom_site_label
_atom_site_type_symbol
_atom_site_fract_x
_atom_site_fract_y
_atom_site_fract_z
Re1 Re 0.0000 0.0000 0.2500
Re2 Re 0.0000 0.0000 0.7500
Re3 Re 0.3333 0.6667 0.2500
Re4 Re 0.6667 0.3333 0.7500
Tc1 Tc 0.3333 0.6667 0.5755
Tc2 Tc 0.3333 0.6667 0.9245
Tc3 Tc 0.6667 0.3333 0.0755
Tc4 Tc 0.6667 0.3333 0.4245
```

## Properties
Relative energy among the computed polymorphs (meV/atom): 507
Space-group type: No. 194
Formation enthalpy at 0 K (eV/atom): 0.500

---

No. 8
VASP calculation (GGA-PBE) on a relaxed InPdPt4 crystal.

CIF file:
```
data_InPdPt4
_space_group_name_H-M_alt 'P 1'
_space_group_IT_number 1
_space_group_name_Hall 'P 1'
_cell_length_a 5.4244
_cell_length_b 7.7358
_cell_length_c 5.5013
_cell_angle_alpha 90.00
_cell_angle_beta 119.05
_cell_angle_gamma 90.00
loop_
_atom_site_label
_atom_site_type_symbol
_atom_site_fract_x
_atom_site_fract_y
_atom_site_fract_z
In1 In 0.0000 0.0000 0.0000
In2 In 0.5000 0.5000 0.0000
Pd1 Pd 0.0000 0.5000 0.5000
Pd2 Pd 0.5000 0.0000 0.5000
Pt1 Pt 0.2488 0.1853 0.7442
Pt2 Pt 0.2488 0.8147 0.7442
Pt3 Pt 0.2512 0.3147 0.2558
Pt4 Pt 0.2512 0.6853 0.2558
Pt5 Pt 0.7488 0.3147 0.7442
Pt6 Pt 0.7488 0.6853 0.7442
Pt7 Pt 0.7512 0.1853 0.2558
Pt8 Pt 0.7512 0.8147 0.2558
```

## Properties
Space-group type: No. 12
Formation enthalpy at 0 K (eV/atom): -0.152